Entry 1:
! SCAN Cs4FeSbCl12, single point on PBEsol structure; values from VASP
! density	3.54	g cm⁻³
! energy relative to the elements, uncorrected	-1.508	eV/atom
! electronic total energy	-18.31	eV per atom
! SG	No. 123
&SYSTEM
  ibrav = 0, nat = 18, ntyp = 4
/
ATOMIC_SPECIES
Cs 132.91 Cs.upf
Fe 55.84 Fe.upf
Sb 121.76 Sb.upf
Cl 35.45 Cl.upf
CELL_PARAMETERS angstrom
-3.4884 -4.8481 -3.9953
-1.7477 -3.6406 5.9437
-8.6440 5.5253 0.8426
ATOMIC_POSITIONS angstrom
Cs -8.3300 1.7857 -1.3556
Cs -2.9320 -0.5047 3.1725
Cs -3.8024 -1.1084 -1.7970
Cs -7.4597 2.3894 3.6138
Fe 0.0000 0.0000 0.0000
Sb -6.9401 -1.4817 1.3955
Cl -6.7641 4.3237 0.6594
Cl -4.8437 -2.8217 1.1912
Cl -8.2198 -3.5564 1.8718
Cl -1.1567 -1.8752 0.4304
Cl -7.3655 -1.7768 -1.0336
Cl -2.1322 -3.9073 3.7482
Cl -1.8799 1.2017 0.1833
Cl -9.0364 -0.1417 1.5999
Cl -5.6603 0.5931 0.9193
Cl -4.0794 -6.6135 1.5180
Cl -6.5146 -1.1865 3.8247
Cl -3.1039 -4.5814 -1.7997

Entry 2:
! SCAN TcIr2Rh, single point on PBEsol structure; values from VASP
! DFT formation energy	-0.14	eV per atom
! offset from the most stable computed form	42	meV/atom
! density	17.54	g cm⁻³
! electronic total energy	-52.89	eV per atom
! SG	No. 166
&SYSTEM
  ibrav = 0, nat = 4, ntyp = 3
/
ATOMIC_SPECIES
Ir 192.22 Ir.upf
Rh 102.91 Rh.upf
Tc 98.00 Tc.upf
CELL_PARAMETERS angstrom
2.6937 0.0000 0.0000
1.3469 2.3329 0.0000
1.3469 0.7776 8.8163
ATOMIC_POSITIONS angstrom
Ir 1.3469 0.7776 2.1716
Ir 4.0406 2.3329 6.6447
Rh 2.6937 1.5552 4.4081
Tc 0.0000 0.0000 0.0000

Which of these has the lowest electronic total energy?
TcIr2Rh

Which value of electronic total energy does entry 1 give?
-18.31 eV per atom

Which of these has the highest electronic total energy?
Cs4FeSbCl12

What is the density in the second record?
17.54 g cm⁻³